No. 1
A relaxed structure of Sc2InPb, computed with GGA-PBE.

a = 6.053 Å, b = 6.048 Å, c = 11.392 Å
α = 106.95°, β = 90.00°, γ = 90.00°
Fractional coordinates of all 16 atoms:
Sc 0.620 0.064 0.875
Sc 0.134 0.959 0.632
Sc 0.380 0.936 0.125
Sc 0.380 0.564 0.375
Sc 0.620 0.436 0.625
Sc 0.866 0.041 0.368
Sc 0.866 0.459 0.132
Sc 0.134 0.541 0.868
In 0.121 0.438 0.596
In 0.879 0.562 0.404
In 0.121 0.062 0.904
In 0.879 0.938 0.096
Pb 0.363 0.423 0.103
Pb 0.637 0.923 0.603
Pb 0.637 0.577 0.897
Pb 0.363 0.077 0.397

Properties
- DFT formation energy: -0.337 eV/atom
- Space group: P2/c, No. 13
- Total magnetic moment: 0.00 μB/f.u.
- Crystal system: monoclinic



No. 2
A relaxed structure of Ca3Sm, computed with GGA-PBE.

a = 5.408 Å, b = 5.408 Å, c = 5.408 Å
α = 90.00°, β = 90.00°, γ = 90.00°
Site moments in Bohr magnetons follow the coordinates.
Fractional coordinates of all 4 atoms:
Ca 0.500 0.000 0.500  0.03
Ca 0.000 0.500 0.500  0.03
Ca 0.500 0.500 0.000  0.03
Sm 0.000 0.000 0.000  0.16

Properties
- DFT formation energy: 0.127 eV/atom
- Space group: Pm-3m, No. 221
- Energy above the most stable polymorph in this dataset: 0.0351 eV/atom
- Total magnetic moment: 0.65 μB/f.u.
- Crystal system: cubic



No. 3
A relaxed structure of BaEr2PuO8, computed with GGA-PBE.

a = 5.112 Å, b = 5.113 Å, c = 7.434 Å
α = 90.01°, β = 90.01°, γ = 89.73°
Site moments in Bohr magnetons follow the coordinates.
Fractional coordinates of all 12 atoms:
O 0.354 0.348 0.500  0.40
O 0.811 0.191 0.806  -0.06
O 0.646 0.652 0.500  0.40
O 0.189 0.809 0.194  -0.06
O 0.811 0.191 0.194  -0.06
O 0.189 0.809 0.806  -0.06
O 0.710 0.711 0.000  -0.06
O 0.290 0.289 0.000  -0.06
Er 0.500 0.500 0.767  -0.04
Er 0.500 0.500 0.233  -0.04
Pu 0.000 0.000 0.000  1.44
Ba 0.000 0.000 0.500  0.05

Properties
- Uncorrected formation energy: -33.220 eV/f.u.
- Space group: P2/m, No. 10
- Total magnetic moment: 2.00 μB/f.u.
- Crystal system: monoclinic



No. 4
A relaxed structure of AgBi2Pb, computed with GGA-PBE.

a = 4.233 Å, b = 4.233 Å, c = 8.163 Å
α = 74.97°, β = 74.97°, γ = 60.00°
Fractional coordinates of all 4 atoms:
Pb 0.500 0.500 0.500
Bi 0.263 0.263 0.211
Bi 0.737 0.737 0.789
Ag 0.000 0.000 0.000

Properties
- DFT formation energy: 0.135 eV/atom
- Space group: R-3m, No. 166
- Total magnetic moment: 0.00 μB/f.u.
- Crystal system: trigonal



No. 5
A relaxed structure of Nd2Ni4Ge3P, computed with GGA-PBE.

a = 4.159 Å, b = 4.159 Å, c = 9.527 Å
α = 90.00°, β = 90.00°, γ = 90.00°
Fractional coordinates of all 10 atoms:
Ge 0.500 0.000 0.870
Ge 0.000 0.000 0.500
Ge 0.000 0.500 0.130
P 0.500 0.500 0.500
Ni 0.000 0.500 0.387
Ni 0.000 0.000 0.000
Ni 0.500 0.000 0.613
Ni 0.500 0.500 0.000
Nd 0.500 0.000 0.254
Nd 0.000 0.500 0.746

Properties
- DFT formation energy: -0.737 eV/atom
- Space group: P-4m2, No. 115
- Total magnetic moment: 0.00 μB/f.u.
- Crystal system: tetragonal



No. 6
A relaxed structure of InGaCu, computed with GGA-PBE.

a = 4.351 Å, b = 4.351 Å, c = 4.351 Å
α = 60.00°, β = 60.00°, γ = 60.00°
Fractional coordinates of all 3 atoms:
In 0.000 0.000 0.000
Ga 0.500 0.500 0.500
Cu 0.250 0.250 0.250

Properties
- DFT formation energy: -0.015 eV/atom
- Space group: F-43m, No. 216
- Total magnetic moment: 0.00 μB/f.u.
- Crystal system: cubic



No. 7
A relaxed structure of La2PrTm5Sc, computed with GGA-PBE.

a = 5.591 Å, b = 10.196 Å, c = 10.516 Å
α = 90.00°, β = 90.00°, γ = 105.91°
Fractional coordinates of all 18 atoms:
Tm 0.016 0.031 0.021
Tm 0.278 0.556 0.321
Tm 0.623 0.245 0.518
Tm 0.984 0.969 0.521
Tm 0.483 0.966 0.739
Tm 0.377 0.755 0.018
Tm 0.704 0.408 0.204
Tm 0.517 0.034 0.239
Tm 0.722 0.444 0.821
Tm 0.296 0.592 0.704
Sc 0.200 0.400 0.013
Sc 0.800 0.600 0.513
La 0.886 0.772 0.813
La 0.116 0.232 0.732
La 0.884 0.768 0.232
La 0.114 0.228 0.313
Pr 0.414 0.829 0.462
Pr 0.586 0.171 0.962

Properties
- DFT formation energy: 0.161 eV/atom
- Space group: Cmc2_1, No. 36
- Total magnetic moment: 0.00 μB/f.u.
- Crystal system: orthorhombic



No. 8
A relaxed structure of CsRb2SbF6, computed with GGA-PBE.

a = 7.084 Å, b = 7.084 Å, c = 7.084 Å
α = 60.00°, β = 60.00°, γ = 60.00°
Fractional coordinates of all 10 atoms:
F 0.220 0.220 0.780
F 0.220 0.780 0.220
F 0.220 0.780 0.780
F 0.780 0.220 0.220
F 0.780 0.220 0.780
F 0.780 0.780 0.220
Rb 0.750 0.750 0.750
Rb 0.250 0.250 0.250
Sb 0.000 0.000 0.000
Cs 0.500 0.500 0.500

Properties
- Uncorrected formation energy: -25.548 eV/f.u.
- Space group: Fm-3m, No. 225
- Total magnetic moment: 0.00 μB/f.u.
- Crystal system: cubic